(1)
Here is SrLi2P2 after structural relaxation from the Alexandria database. Energies are from GGA-PBE.

The calculation puts the energy of formation from the pure elements at -0.553 eV/atom.

The space group is P4/mbm (No. 127) and the conventional cell measures 7.690, 7.690 and 3.019 Å, with angles of 90.00, 90.00 and 90.00 degrees. The asymmetric unit holds Sr at (0.000, 0.000, 0.000), Li at (0.114, 0.386, 0.000) and P at (0.177, 0.677, 0.500).


(2)
Here is CaHgBr after structural relaxation from the Alexandria database. Energies are from GGA-PBE.

For the uncorrected formation energy, the calculation gives -1.074 eV/atom. The value obtained for the energy above the most stable polymorph in this dataset is 59 meV per atom.

The space group is Cmcm (No. 63) and the conventional cell measures 4.056, 14.990 and 5.977 Å, with angles of 90.00, 90.00 and 90.00 degrees. The asymmetric unit holds Ca at (0.000, 0.145, 0.250), Hg at (0.000, 0.500, 0.000) and Br at (0.000, 0.211, 0.750).


(3)
Here is Ce2Tc after structural relaxation from the Alexandria database. Energies are from GGA-PBE.

The calculation puts the energy of formation from the pure elements at -0.071 eV/atom. The value obtained for the energy above the most stable polymorph in this dataset is 51 meV per atom.

The space group is Pnma (No. 62) and the conventional cell measures 7.171, 5.340 and 7.567 Å, with angles of 90.00, 90.00 and 90.00 degrees. The asymmetric unit holds Ce at (0.012, 0.250, 0.177), Ce at (0.137, 0.250, 0.624) and Tc at (0.242, 0.750, 0.455).


(4)
Here is USi2Au after structural relaxation from the Alexandria database. Energies are from GGA-PBE.

For the uncorrected formation energy, the calculation gives -0.174 eV/atom.

The space group is P4/mmm (No. 123) and the conventional cell measures 4.337, 4.337 and 3.847 Å, with angles of 90.00, 90.00 and 90.00 degrees. The asymmetric unit holds U at (0.000, 0.000, 0.000), Si at (0.000, 0.500, 0.500) and Au at (0.500, 0.500, 0.000).


(5)
Here is LiV3H after structural relaxation from the Alexandria database. Energies are from GGA-PBE.

Its electronic total energy is -4.605 eV per atom.

The space group is Pm-3m (No. 221) and the conventional cell measures 4.097, 4.097 and 4.097 Å, with angles of 90.00, 90.00 and 90.00 degrees. The asymmetric unit holds Li at (0.000, 0.000, 0.000), V at (0.000, 0.000, 0.500) and H at (0.500, 0.500, 0.500).